1.
The following is a DFT calculation (PBE) of a geometry-optimized Ca3H12Au5 structure.

Summary:
V: 235.82 Å³/f.u.
raw total energy: -3.235 eV/atom
D(E_F): 1.3 states/eV per cell

Cell: 10.7009 10.7009 10.7009 Å, 109.47 109.47 109.47°
Fractional coordinates of all 80 atoms:
H (0.3226, 0.5206, 0.3984)
Au (0.5000, 0.0000, 0.0000)
H (0.1980, 0.5206, 0.6222)
Au (0.0000, 0.0000, 0.0000)
Au (0.0000, 0.5000, 0.0000)
H (0.6222, 0.0206, 0.1980)
H (0.3984, 0.0206, 0.3226)
Ca (0.1250, 0.8750, 0.7500)
Au (0.2500, 0.3750, 0.6250)
H (0.0758, 0.1774, 0.1980)
H (0.1774, 0.1016, 0.9794)
H (0.4794, 0.8020, 0.8778)
H (0.4242, 0.3020, 0.3226)
Ca (0.3750, 0.7500, 0.6250)
H (0.0206, 0.3984, 0.8226)
H (0.0758, 0.8984, 0.3778)
H (0.6774, 0.1980, 0.5758)
Au (0.7500, 0.6250, 0.3750)
H (0.3984, 0.3778, 0.5758)
H (0.3020, 0.8778, 0.9794)
Ca (0.3750, 0.6250, 0.2500)
H (0.6016, 0.9794, 0.6774)
H (0.1016, 0.9242, 0.1222)
H (0.3778, 0.3984, 0.0758)
Au (0.8750, 0.2500, 0.6250)
H (0.1222, 0.6980, 0.5206)
H (0.8778, 0.3020, 0.4794)
Ca (0.8750, 0.1250, 0.2500)
Au (0.6250, 0.8750, 0.2500)
Au (0.3750, 0.2500, 0.1250)
Ca (0.6250, 0.2500, 0.3750)
Au (0.0000, 0.0000, 0.5000)
H (0.6980, 0.1222, 0.0206)
Ca (0.8750, 0.7500, 0.1250)
H (0.1016, 0.1774, 0.4794)
Ca (0.6250, 0.3750, 0.7500)
H (0.9242, 0.1016, 0.6222)
Ca (0.7500, 0.8750, 0.6250)
H (0.5758, 0.6980, 0.6774)
H (0.6774, 0.4794, 0.6016)
Ca (0.2500, 0.1250, 0.3750)
H (0.8984, 0.0758, 0.8778)
Au (0.0000, 0.5000, 0.5000)
H (0.0206, 0.6222, 0.6980)
Au (0.5000, 0.5000, 0.0000)
H (0.3226, 0.8020, 0.4242)
H (0.4794, 0.6774, 0.1016)
Au (0.1250, 0.7500, 0.3750)
Ca (0.2500, 0.6250, 0.8750)
H (0.8778, 0.5758, 0.8984)
H (0.9242, 0.8226, 0.8020)
Au (0.6250, 0.7500, 0.8750)
H (0.1774, 0.0758, 0.6980)
H (0.6016, 0.6222, 0.4242)
Au (0.5000, 0.5000, 0.5000)
H (0.6980, 0.5758, 0.1774)
H (0.4242, 0.1222, 0.6016)
H (0.1980, 0.6774, 0.0758)
Au (0.5000, 0.0000, 0.5000)
Au (0.1250, 0.3750, 0.2500)
H (0.8020, 0.4794, 0.3778)
Au (0.7500, 0.1250, 0.8750)
H (0.8226, 0.8984, 0.0206)
H (0.3778, 0.9794, 0.8020)
Au (0.2500, 0.8750, 0.1250)
H (0.6222, 0.6016, 0.9242)
H (0.8984, 0.8226, 0.5206)
H (0.9794, 0.3778, 0.3020)
H (0.8226, 0.9242, 0.3020)
Ca (0.1250, 0.2500, 0.8750)
H (0.5758, 0.8778, 0.3984)
Au (0.3750, 0.1250, 0.7500)
H (0.3020, 0.4242, 0.8226)
H (0.5206, 0.1980, 0.1222)
H (0.8020, 0.3226, 0.9242)
H (0.9794, 0.6016, 0.1774)
H (0.1222, 0.4242, 0.1016)
Au (0.8750, 0.6250, 0.7500)
H (0.5206, 0.3226, 0.8984)
Ca (0.7500, 0.3750, 0.1250)

=====

2.
The following is a DFT calculation (PBE) of a geometry-optimized CaHAu structure.

Summary:
distance to the lowest polymorph of the same formula: 94 meV per atom
V: 52.55 Å³/f.u.
raw total energy: -3.393 eV/atom
D(E_F): 11.9 states/eV per cell

Cell: 7.5842 9.4056 11.7876 Å, 90.00 90.00 90.00°
Fractional coordinates of all 48 atoms:
Ca (0.6464, 0.5052, 0.2876)
H (0.8105, 0.8539, 0.3554)
H (0.1895, 0.1461, 0.6446)
Ca (0.6464, 0.0052, 0.2124)
Au (0.3804, 0.2522, 0.2794)
Ca (0.9953, 0.1875, 0.0223)
Ca (0.4953, 0.3125, 0.0223)
H (0.4433, 0.5313, 0.1330)
Au (0.1196, 0.7522, 0.7206)
Au (0.8804, 0.2478, 0.2794)
H (0.9433, 0.4687, 0.3670)
Au (0.6196, 0.7478, 0.7206)
Ca (0.9953, 0.6875, 0.4777)
H (0.8105, 0.3539, 0.1446)
Ca (0.0047, 0.8125, 0.9777)
H (0.4433, 0.0313, 0.3670)
Au (0.3327, 0.4758, 0.4489)
H (0.9433, 0.9687, 0.1330)
Ca (0.8536, 0.0052, 0.7124)
Ca (0.1464, 0.4948, 0.2124)
H (0.5567, 0.9687, 0.6330)
Au (0.6673, 0.0242, 0.9489)
Au (0.8804, 0.7478, 0.2206)
Au (0.3327, 0.9758, 0.0511)
H (0.3105, 0.1461, 0.1446)
Au (0.6673, 0.5242, 0.5511)
Au (0.3804, 0.7522, 0.2206)
Au (0.8327, 0.0242, 0.4489)
Au (0.1673, 0.9758, 0.5511)
Ca (0.3536, 0.9948, 0.7876)
Ca (0.3536, 0.4948, 0.7124)
Ca (0.8536, 0.5052, 0.7876)
H (0.1895, 0.6461, 0.8554)
Ca (0.5047, 0.6875, 0.9777)
H (0.6895, 0.3539, 0.6446)
Ca (0.0047, 0.3125, 0.5223)
Ca (0.5047, 0.1875, 0.5223)
H (0.6895, 0.8539, 0.8554)
Au (0.1196, 0.2522, 0.7794)
H (0.5567, 0.4687, 0.8670)
Au (0.1673, 0.4758, 0.9489)
Au (0.6196, 0.2478, 0.7794)
Ca (0.1464, 0.9948, 0.2876)
Au (0.8327, 0.5242, 0.0511)
Ca (0.4953, 0.8125, 0.4777)
H (0.0567, 0.0313, 0.8670)
H (0.0567, 0.5313, 0.6330)
H (0.3105, 0.6461, 0.3554)

=====

Q: raw total energy of number 2 (CaHAu)?
A: -3.393 eV/atom

=====

Q: Which formula does entry 2 have?
A: CaHAu

=====

Q: Number 2 is which compound?
A: CaHAu

=====

Q: The lowest raw total energy belongs to which entry?
A: CaHAu